The following is a GGA-PBE calculation of a geometry-optimized Ce3Pr4SmSe8 structure, from the Alexandria database.

abc: 8.467 8.467 8.467
angles: 59.93 59.93 59.93
Sites, in units of the cell vectors:
1 Ce 0.000 0.500 0.500
2 Ce 0.500 0.000 0.500
3 Ce 0.500 0.500 0.000
4 Pr 0.000 0.000 0.500
5 Pr 0.000 0.500 0.000
6 Pr 0.500 0.000 0.000
7 Pr 0.500 0.500 0.500
8 Sm 0.000 0.000 0.000
9 Se 0.247 0.247 0.749
10 Se 0.247 0.749 0.247
11 Se 0.251 0.753 0.753
12 Se 0.252 0.252 0.252
13 Se 0.748 0.748 0.748
14 Se 0.749 0.247 0.247
15 Se 0.753 0.251 0.753
16 Se 0.753 0.753 0.251

Computed properties:
For the spin magnetization, the calculation gives 2.8 Bohr magnetons per cell. The density of states at the Fermi level comes out at 22.06 states/eV/f.u. Its symmetry is No. 166.

=====

The following is a GGA-PBE calculation of a geometry-optimized MgAgPb2 structure, from the Alexandria database.

abc: 11.348 3.463 5.494
angles: 90.00 110.65 90.00
Sites, in units of the cell vectors:
1 Mg 0.000 0.000 0.000
2 Mg 0.500 0.500 0.000
3 Ag 0.202 0.500 0.292
4 Ag 0.702 0.000 0.292
5 Pb 0.241 0.000 0.817
6 Pb 0.456 0.000 0.466
7 Pb 0.741 0.500 0.817
8 Pb 0.956 0.500 0.466

Computed properties:
For the spin magnetization, the calculation gives 0.0 Bohr magnetons per cell. The density of states at the Fermi level comes out at 1.64 states/eV/f.u. The formation energy comes out at 0.001 eV per atom. Its symmetry is No. 8.

=====

We obtain electronic total energy values of -6.183; -2.964 eV/atom for the records listed above, in that order.